The following is a DFT calculation (PBE) of Ba2RhBr after structural relaxation.

Properties
Density ... 5.202 g/cm3
Formation energy from raw total energies ... -899 meV per atom
Spin magnetization ... 0.0 μB per formula unit
DFT total energy ... -49.4 eV for the cell shown
Polymorph energy (0 for the lowest one) ... 32 meV per atom
N(E_F) ... 0.751 states/eV/atom

Unit cell a=4.5166 b=4.5166 c=24.7957 alpha=90.00 beta=90.00 gamma=120.00
Space group R3m (No. 160, hexagonal axes)
Inequivalent atoms, fractional coordinates:
Ba1 0.0000 0.0000 0.0000 x3
Ba2 0.0000 0.0000 0.1942 x3
Rh1 0.0000 0.0000 0.5976 x3
Br1 0.0000 0.0000 0.4298 x3

=====

The following is a DFT calculation (PBE) of Ba4RhBr5 after structural relaxation.

Properties
Density ... 4.131 g/cm3
Formation energy from raw total energies ... -1659 meV per atom
Spin magnetization ... 0.2 μB per formula unit
DFT total energy ... -80.0 eV for the cell shown

Unit cell a=20.478 b=4.790 c=9.152 alpha=90.00 beta=109.63 gamma=90.00
Space group C2/m (No. 12)
Inequivalent atoms, fractional coordinates:
Ba1 0.001 0.000 0.237 x4
Ba2 0.164 0.500 0.128 x4
Rh1 0.000 0.500 0.000 x2
Br1 0.000 0.500 0.500 x2
Br2 0.169 0.000 0.366 x4
Br3 0.169 0.000 0.881 x4

=====

The following is a DFT calculation (PBE) of Ba2RhBr after structural relaxation.

Properties
Density ... 5.997 g/cm3
Formation energy from raw total energies ... -871 meV per atom
Spin magnetization ... 0.0 μB per formula unit
DFT total energy ... -16.4 eV for the cell shown
Polymorph energy (0 for the lowest one) ... 60 meV per atom
N(E_F) ... 0.296 states/eV/atom

Unit cell a=3.863 b=3.893 c=8.424 alpha=90.00 beta=90.00 gamma=90.00
Space group Pmmm (No. 47)
Inequivalent atoms, fractional coordinates:
Ba1 0.000 0.000 0.216 x2
Rh1 0.500 0.500 0.000 x1
Br1 0.500 0.500 0.500 x1

=====

The following is a DFT calculation (PBE) of BaRhBr after structural relaxation.

Properties
Density ... 6.103 g/cm3
Formation energy from raw total energies ... -751 meV per atom
Spin magnetization ... 0.0 μB per formula unit
DFT total energy ... -52.8 eV for the cell shown
Polymorph energy (0 for the lowest one) ... 219 meV per atom
N(E_F) ... 0.000 states/eV/atom

Unit cell a=8.419 b=8.842 c=5.482 alpha=90.00 beta=121.37 gamma=90.00
Space group Cm (No. 8)
Inequivalent atoms, fractional coordinates:
Ba1 0.000 0.230 0.000 x4
Rh1 0.199 0.500 0.919 x2
Rh2 0.285 0.500 0.459 x2
Br1 0.115 0.000 0.596 x2
Br2 0.466 0.000 0.388 x2

=====

The following is a DFT calculation (PBE) of BaRh2Br after structural relaxation.

Properties
Density ... 7.933 g/cm3
Formation energy from raw total energies ... 383 meV per atom
Spin magnetization ... 0.0 μB per formula unit
DFT total energy ... -16.8 eV for the cell shown
Polymorph energy (0 for the lowest one) ... 582 meV per atom
N(E_F) ... 1.199 states/eV/atom

Unit cell a=3.438 b=4.073 c=6.323 alpha=90.00 beta=90.00 gamma=90.00
Space group Pmmm (No. 47)
Inequivalent atoms, fractional coordinates:
Ba1 0.000 0.000 0.000 x1
Rh1 0.500 0.500 0.291 x2
Br1 0.000 0.000 0.500 x1

=====

The following is a DFT calculation (PBE) of BaRh2Br after structural relaxation.

Properties
Density ... 6.415 g/cm3
Formation energy from raw total energies ... -122 meV per atom
Spin magnetization ... 0.0 μB per formula unit
DFT total energy ... -75.1 eV for the cell shown
Polymorph energy (0 for the lowest one) ... 77 meV per atom
N(E_F) ... 0.368 states/eV/atom

Unit cell a=5.221 b=5.221 c=16.067 alpha=90.00 beta=90.00 gamma=90.00
Space group I-42d (No. 122)
Inequivalent atoms, fractional coordinates:
Ba1 0.000 0.000 0.000 x4
Rh1 0.045 0.250 0.625 x8
Br1 0.000 0.000 0.500 x4

=====

The following is a DFT calculation (PBE) of BaRhBr after structural relaxation.

Properties
Density ... 5.524 g/cm3
Formation energy from raw total energies ... -402 meV per atom
Spin magnetization ... 0.0 μB per formula unit
DFT total energy ... -24.3 eV for the cell shown
Polymorph energy (0 for the lowest one) ... 568 meV per atom
N(E_F) ... 1.099 states/eV/atom

Unit cell a=4.320 b=4.320 c=10.312 alpha=90.00 beta=90.00 gamma=90.00
Space group I4mm (No. 107)
Inequivalent atoms, fractional coordinates:
Ba1 0.000 0.000 0.000 x2
Rh1 0.000 0.000 0.564 x2
Br1 0.000 0.000 0.326 x2

=====

The following is a DFT calculation (PBE) of BaRhBr after structural relaxation.

Properties
Density ... 5.769 g/cm3
Formation energy from raw total energies ... -715 meV per atom
Spin magnetization ... 0.0 μB per formula unit
DFT total energy ... -52.4 eV for the cell shown
Polymorph energy (0 for the lowest one) ... 256 meV per atom
N(E_F) ... 0.000 states/eV/atom

Unit cell a=8.772 b=8.808 c=4.795 alpha=90.00 beta=95.74 gamma=90.00
Space group Cm (No. 8)
Inequivalent atoms, fractional coordinates:
Ba1 0.000 0.237 0.000 x4
Rh1 0.065 0.000 0.494 x2
Rh2 0.248 0.000 0.011 x2
Br1 0.277 0.500 0.339 x2
Br2 0.348 0.000 0.523 x2

=====

The following is a DFT calculation (PBE) of BaRhBr after structural relaxation.

Properties
Density ... 6.830 g/cm3
Formation energy from raw total energies ... -621 meV per atom
Spin magnetization ... 0.0 μB per formula unit
DFT total energy ... -12.8 eV for the cell shown
Polymorph energy (0 for the lowest one) ... 349 meV per atom
N(E_F) ... 0.313 states/eV/atom

Unit cell a=4.5635 b=4.5635 c=4.3152 alpha=90.00 beta=90.00 gamma=120.00
Space group P-6m2 (No. 187)
Inequivalent atoms, fractional coordinates:
Ba1 0.0000 0.0000 0.0000 x1
Rh1 0.3333 0.6667 0.5000 x1
Br1 0.6667 0.3333 0.5000 x1

=====

The following is a DFT calculation (PBE) of Ba4RhBr4 after structural relaxation.

Properties
Density ... 4.206 g/cm3
Formation energy from raw total energies ... -1534 meV per atom
Spin magnetization ... 0.0 μB per formula unit
DFT total energy ... -71.1 eV for the cell shown
N(E_F) ... 0.389 states/eV/atom

Unit cell a=16.702 b=4.642 c=11.664 alpha=90.00 beta=121.93 gamma=90.00
Space group C2/m (No. 12)
Inequivalent atoms, fractional coordinates:
Ba1 0.077 0.000 0.391 x4
Ba2 0.183 0.500 0.765 x4
Rh1 0.000 0.500 0.500 x2
Br1 0.123 0.000 0.908 x4
Br2 0.210 0.500 0.316 x4

=====

The following is a DFT calculation (PBE) of Ba12Rh5Br3 after structural relaxation.

Properties
Density ... 4.498 g/cm3
Formation energy from raw total energies ... -437 meV per atom
Spin magnetization ... 0.0 μB per formula unit
DFT total energy ... -588.7 eV for the cell shown
N(E_F) ... 0.801 states/eV/atom

Unit cell a=19.215 b=19.215 c=19.215 alpha=90.00 beta=90.00 gamma=90.00
Space group Ia-3d (No. 230)
Inequivalent atoms, fractional coordinates:
Ba1 0.032 0.055 0.648 x96
Rh1 0.000 0.000 0.000 x16
Rh2 0.000 0.250 0.375 x24
Br1 0.000 0.250 0.125 x24

=====

The following is a DFT calculation (PBE) of BaRhBr after structural relaxation.

Properties
Density ... 6.228 g/cm3
Formation energy from raw total energies ... -733 meV per atom
Spin magnetization ... 0.0 μB per formula unit
DFT total energy ... -26.3 eV for the cell shown
Polymorph energy (0 for the lowest one) ... 238 meV per atom
N(E_F) ... 0.000 states/eV/atom

Unit cell a=4.074 b=6.289 c=7.046 alpha=92.01 beta=90.08 gamma=108.86
Space group P-1 (No. 2)
Inequivalent atoms, fractional coordinates:
Ba1 0.107 0.215 0.268 x2
Rh1 0.206 0.412 0.892 x2
Br1 0.381 0.760 0.321 x2